<w>
Below is crystalline RbCaSb2 at its relaxed geometry, with properties calculated at the PBE-GGA level.

Cell: 5.8201 5.8201 20.8672 Å, 90.00 90.00 90.00°
With the nearest neighbours (Å) after each atom.
Space group I-42d (No. 122)
Inequivalent atoms, fractional coordinates:
Rb 0.0000 0.0000 0.0000 [4 per cell]  4 Sb 3.73, 4 Ca 4.12
Ca 0.0000 0.0000 0.5000 [4 per cell]  4 Sb 3.06
Sb 0.1174 0.2500 0.6250 [8 per cell]  2 Ca 3.06, 2 Sb 3.22

<x>
Below is crystalline RbCaSb2 at its relaxed geometry, with properties calculated at the PBE-GGA level.

Cell: 4.2849 4.2849 7.8056 Å, 90.00 90.00 90.00°
With the nearest neighbours (Å) after each atom.
Space group P4/mmm (No. 123)
Inequivalent atoms, fractional coordinates:
Rb 0.0000 0.0000 0.0000 [1 per cell]  2 Ca 3.90, 8 Sb 3.92, 4 Rb 4.28
Ca 0.0000 0.0000 0.5000 [1 per cell]  8 Sb 3.34
Sb 0.5000 0.5000 0.3192 [2 per cell]  1 Sb 2.82

Most stable: <x>

<w>
Below is crystalline RbCaSb2 at its relaxed geometry, with properties calculated at the PBE-GGA level.

Cell: 8.1068 8.1068 8.1068 Å, 90.00 90.00 90.00°
With the nearest neighbours (Å) after each atom.
Space group Fm-3m (No. 225)
Inequivalent atoms, fractional coordinates:
Rb 0.0000 0.0000 0.0000 [4 per cell]  8 Sb 3.51
Ca 0.0000 0.0000 0.5000 [4 per cell]  8 Sb 3.51
Sb 0.2500 0.2500 0.2500 [8 per cell]  4 Ca 3.51, 4 Rb 3.51

<x>
Below is crystalline RbCaSb2 at its relaxed geometry, with properties calculated at the PBE-GGA level.

Cell: 3.8821 3.8821 31.7043 Å, 90.00 90.00 120.00°
With the nearest neighbours (Å) after each atom.
Space group R-3m (No. 166, hexagonal axes)
Inequivalent atoms, fractional coordinates:
Rb 0.0000 0.0000 0.0000 [3 per cell]  6 Sb 3.69, 6 Rb 3.88
Ca 0.0000 0.0000 0.5000 [3 per cell]  6 Sb 3.25
Sb 0.0000 0.0000 0.2409 [6 per cell]  3 Ca 3.25

Most stable: <x>

<w>
Below is crystalline RbCa2Sb2 at its relaxed geometry, with properties calculated at the PBE-GGA level.

Cell: 9.3863 9.3863 3.6858 Å, 90.00 90.00 90.00°
With the nearest neighbours (Å) after each atom.
Space group P4/mbm (No. 127)
Inequivalent atoms, fractional coordinates:
Rb 0.0000 0.0000 0.0000 [2 per cell]  4 Ca 3.68, 2 Rb 3.69, 8 Sb 3.96
Ca 0.1308 0.3692 0.0000 [4 per cell]  6 Sb 3.29-3.34, 1 Ca 3.47, 2 Rb 3.68
Sb 0.1641 0.6641 0.5000 [4 per cell]  6 Ca 3.29-3.34

<x>
Below is crystalline RbCa2Sb2 at its relaxed geometry, with properties calculated at the PBE-GGA level.

Cell: 6.0036 6.0036 12.3040 Å, 90.00 90.00 90.00°
With the nearest neighbours (Å) after each atom.
Space group I4/mmm (No. 139)
Inequivalent atoms, fractional coordinates:
Rb 0.0000 0.0000 0.0000 [2 per cell]  2 Ca 3.78
Ca 0.0000 0.0000 0.3073 [4 per cell]  4 Sb 3.08
Sb 0.0000 0.5000 0.2500 [4 per cell]  4 Ca 3.08

Most stable: <w>

<w>
Below is crystalline RbCa3Sb at its relaxed geometry, with properties calculated at the PBE-GGA level.

Cell: 5.9809 5.9809 5.9809 Å, 90.00 90.00 90.00°
With the nearest neighbours (Å) after each atom.
Space group Pm-3m (No. 221)
Inequivalent atoms, fractional coordinates:
Rb 0.0000 0.0000 0.0000 [1 per cell]  6 Ca 2.99
Ca 0.0000 0.0000 0.5000 [3 per cell]  2 Rb 2.99
Sb 0.5000 0.5000 0.5000 [1 per cell]  12 Ca 4.23

<x>
Below is crystalline RbCa3Sb at its relaxed geometry, with properties calculated at the PBE-GGA level.

Cell: 6.1952 6.1952 6.1952 Å, 90.00 90.00 90.00°
With the nearest neighbours (Å) after each atom.
Space group Pm-3m (No. 221)
Inequivalent atoms, fractional coordinates:
Rb 0.0000 0.0000 0.0000 [1 per cell]  12 Ca 4.38
Ca 0.0000 0.5000 0.5000 [3 per cell]  2 Sb 3.10
Sb 0.5000 0.5000 0.5000 [1 per cell]  6 Ca 3.10

Most stable: <x>

<w>
Below is crystalline Rb2Ca2Sc at its relaxed geometry, with properties calculated at the PBE-GGA level.

Cell: 4.8650 4.8650 20.9581 Å, 90.00 90.00 90.00°
With the nearest neighbours (Å) after each atom.
Space group I4/mmm (No. 139)
Inequivalent atoms, fractional coordinates:
Rb 0.0000 0.5000 0.2500 [4 per cell]  4 Rb 3.44
Ca 0.0000 0.0000 0.0806 [4 per cell]  1 Ca 3.38
Sc 0.0000 0.0000 0.5000 [2 per cell]  8 Ca 3.83

<x>
Below is crystalline Rb2Ca2Sc at its relaxed geometry, with properties calculated at the PBE-GGA level.

Cell: 8.9191 8.9191 7.0128 Å, 90.00 90.00 90.00°
With the nearest neighbours (Å) after each atom.
Space group P4/mbm (No. 127)
Inequivalent atoms, fractional coordinates:
Rb 0.1768 0.3232 0.0000 [4 per cell]  6 Ca 4.13-4.57, 1 Rb 4.46
Ca 0.1502 0.6502 0.5000 [4 per cell]  2 Sc 3.40, 1 Ca 3.79
Sc 0.0000 0.0000 0.5000 [2 per cell]  4 Ca 3.40

Most stable: <x>

<w>
Below is crystalline RbCa2Sc at its relaxed geometry, with properties calculated at the PBE-GGA level.

Cell: 8.7393 8.7393 8.7393 Å, 90.00 90.00 90.00°
With the nearest neighbours (Å) after each atom.
Space group Fm-3m (No. 225)
Inequivalent atoms, fractional coordinates:
Rb 0.0000 0.0000 0.0000 [4 per cell]  8 Ca 3.78
Ca 0.2500 0.2500 0.2500 [8 per cell]  4 Rb 3.78, 4 Sc 3.78
Sc 0.0000 0.0000 0.5000 [4 per cell]  8 Ca 3.78

<x>
Below is crystalline RbCa2Sc at its relaxed geometry, with properties calculated at the PBE-GGA level.

Cell: 5.2517 5.2517 26.0046 Å, 90.00 90.00 90.00°
With the nearest neighbours (Å) after each atom.
Space group I-42d (No. 122)
Inequivalent atoms, fractional coordinates:
Rb 0.0000 0.0000 0.0000 [4 per cell]  4 Sc 3.71, 4 Ca 3.78
Ca 0.2318 0.2500 0.6250 [8 per cell]  4 Ca 3.58-3.85, 2 Sc 3.71, 2 Rb 3.78
Sc 0.0000 0.0000 0.5000 [4 per cell]  4 Ca 3.71, 4 Rb 3.71

Most stable: <w>

<w>
Below is crystalline RbCa3Se at its relaxed geometry, with properties calculated at the PBE-GGA level.

Cell: 5.9891 5.9891 5.9891 Å, 90.00 90.00 90.00°
With the nearest neighbours (Å) after each atom.
Space group Pm-3m (No. 221)
Inequivalent atoms, fractional coordinates:
Rb 0.0000 0.0000 0.0000 [1 per cell]  12 Ca 4.23
Ca 0.0000 0.5000 0.5000 [3 per cell]  2 Se 2.99
Se 0.5000 0.5000 0.5000 [1 per cell]  6 Ca 2.99

<x>
Below is crystalline RbCa3Se at its relaxed geometry, with properties calculated at the PBE-GGA level.

Cell: 6.1248 6.1248 6.1248 Å, 90.00 90.00 90.00°
With the nearest neighbours (Å) after each atom.
Space group Pm-3m (No. 221)
Inequivalent atoms, fractional coordinates:
Rb 0.0000 0.0000 0.0000 [1 per cell]  6 Ca 3.06
Ca 0.0000 0.0000 0.5000 [3 per cell]  2 Rb 3.06
Se 0.5000 0.5000 0.5000 [1 per cell]  12 Ca 4.33

Most stable: <w>